First-principles (PBE) data for crystalline YGaHg at its relaxed geometry, as listed in the Alexandria database.

The structure in CIF format:
```
data_YGaHg
_chemical_formula_sum 'Y2 Ga2 Hg2'
_cell_length_a 3.466
_cell_length_b 3.466
_cell_length_c 14.853
_cell_angle_alpha 90.00
_cell_angle_beta 90.00
_cell_angle_gamma 90.00
_symmetry_space_group_name_H-M 'I 4 m m'
_symmetry_Int_Tables_number 107
_symmetry_space_group_name_Hall 'I 4 -2'
loop_
_atom_site_label
_atom_site_fract_x
_atom_site_fract_y
_atom_site_fract_z
_atom_site_occupancy
Y1 0.000 0.000 0.000 1
Ga1 0.000 0.000 0.607 1
Hg1 0.000 0.000 0.792 1
```

Output
Fermi-level density of states = 3.0 states/eV/cell
ΔH_f (0 K) = -10 kJ/mol of formula units
Size of the total moment = 0.00 μB/f.u.
Crystal system = tetragonal

First-principles (PBE) data for crystalline YGa3Hg at its relaxed geometry, as listed in the Alexandria database.

The structure in CIF format:
```
data_YGa3Hg
_chemical_formula_sum 'Y1 Ga3 Hg1'
_cell_length_a 5.662
_cell_length_b 5.662
_cell_length_c 5.662
_cell_angle_alpha 90.00
_cell_angle_beta 90.00
_cell_angle_gamma 90.00
_symmetry_space_group_name_H-M 'P m -3 m'
_symmetry_Int_Tables_number 221
_symmetry_space_group_name_Hall '-P 4 2 3'
loop_
_atom_site_label
_atom_site_fract_x
_atom_site_fract_y
_atom_site_fract_z
_atom_site_occupancy
Y1 0.000 0.000 0.000 1
Ga1 0.000 0.000 0.500 1
Hg1 0.500 0.500 0.500 1
```

Output
Fermi-level density of states = 6.5 states/eV/cell
ΔH_f (0 K) = 300 kJ/mol of formula units
Energy above the most stable polymorph in this dataset = 297 meV/atom
Size of the total moment = 0.00 μB/f.u.
Crystal system = cubic

First-principles (PBE) data for crystalline YGaHg at its relaxed geometry, as listed in the Alexandria database.

The structure in CIF format:
```
data_YGaHg
_chemical_formula_sum 'Y4 Ga4 Hg4'
_cell_length_a 4.165
_cell_length_b 16.533
_cell_length_c 4.085
_cell_angle_alpha 90.00
_cell_angle_beta 90.00
_cell_angle_gamma 90.00
_symmetry_space_group_name_H-M 'C m c m'
_symmetry_Int_Tables_number 63
_symmetry_space_group_name_Hall '-C 2c 2'
loop_
_atom_site_label
_atom_site_fract_x
_atom_site_fract_y
_atom_site_fract_z
_atom_site_occupancy
Y1 0.000 0.098 0.250 1
Ga1 0.000 0.457 0.250 1
Hg1 0.000 0.290 0.250 1
```

Output
Fermi-level density of states = 7.5 states/eV/cell
ΔH_f (0 K) = -148 kJ/mol of formula units
Size of the total moment = 0.00 μB/f.u.
Crystal system = orthorhombic

First-principles (PBE) data for crystalline Y2GaHg at its relaxed geometry, as listed in the Alexandria database.

The structure in CIF format:
```
data_Y2GaHg
_chemical_formula_sum 'Y6 Ga3 Hg3'
_cell_length_a 3.7043
_cell_length_b 3.7043
_cell_length_c 26.8803
_cell_angle_alpha 90.00
_cell_angle_beta 90.00
_cell_angle_gamma 120.00
_symmetry_space_group_name_H-M 'R -3 m'
_symmetry_Int_Tables_number 166
_symmetry_space_group_name_Hall '-R 3 2"'
loop_
_atom_site_label
_atom_site_fract_x
_atom_site_fract_y
_atom_site_fract_z
_atom_site_occupancy
Y1 0.0000 0.0000 0.2456 1
Ga1 0.0000 0.0000 0.5000 1
Hg1 0.0000 0.0000 0.0000 1
```

Output
Fermi-level density of states = 9.0 states/eV/cell
ΔH_f (0 K) = -163 kJ/mol of formula units
Size of the total moment = 0.00 μB/f.u.
Crystal system = trigonal

First-principles (PBE) data for crystalline YGaHg at its relaxed geometry, as listed in the Alexandria database.

The structure in CIF format:
```
data_YGaHg
_chemical_formula_sum 'Y4 Ga4 Hg4'
_cell_length_a 6.919
_cell_length_b 6.919
_cell_length_c 6.919
_cell_angle_alpha 90.00
_cell_angle_beta 90.00
_cell_angle_gamma 90.00
_symmetry_space_group_name_H-M 'F -4 3 m'
_symmetry_Int_Tables_number 216
_symmetry_space_group_name_Hall 'F -4 2 3'
loop_
_atom_site_label
_atom_site_fract_x
_atom_site_fract_y
_atom_site_fract_z
_atom_site_occupancy
Y1 0.000 0.000 0.000 1
Ga1 0.250 0.250 0.250 1
Hg1 0.250 0.250 0.750 1
```

Output
Fermi-level density of states = 9.5 states/eV/cell
ΔH_f (0 K) = -26 kJ/mol of formula units
Size of the total moment = 0.00 μB/f.u.
Crystal system = cubic

First-principles (PBE) data for crystalline Y5GaHg4 at its relaxed geometry, as listed in the Alexandria database.

The structure in CIF format:
```
data_Y5GaHg4
_chemical_formula_sum 'Y5 Ga1 Hg4'
_cell_length_a 3.697
_cell_length_b 3.697
_cell_length_c 18.552
_cell_angle_alpha 90.00
_cell_angle_beta 90.00
_cell_angle_gamma 90.00
_symmetry_space_group_name_H-M 'P 4/m m m'
_symmetry_Int_Tables_number 123
_symmetry_space_group_name_Hall '-P 4 2'
loop_
_atom_site_label
_atom_site_fract_x
_atom_site_fract_y
_atom_site_fract_z
_atom_site_occupancy
Y1 0.000 0.000 0.000 1
Y2 0.000 0.000 0.203 1
Y3 0.000 0.000 0.406 1
Ga1 0.500 0.500 0.500 1
Hg1 0.500 0.500 0.102 1
Hg2 0.500 0.500 0.304 1
```

Output
Fermi-level density of states = 8.8 states/eV/cell
ΔH_f (0 K) = -508 kJ/mol of formula units
Size of the total moment = 0.00 μB/f.u.
Crystal system = tetragonal

First-principles (PBE) data for crystalline Y2Ga3Hg at its relaxed geometry, as listed in the Alexandria database.

The structure in CIF format:
```
data_Y2Ga3Hg
_chemical_formula_sum 'Y4 Ga6 Hg2'
_cell_length_a 3.985
_cell_length_b 4.384
_cell_length_c 15.494
_cell_angle_alpha 90.00
_cell_angle_beta 90.00
_cell_angle_gamma 90.00
_symmetry_space_group_name_H-M 'I m m 2'
_symmetry_Int_Tables_number 44
_symmetry_space_group_name_Hall 'I 2 -2'
loop_
_atom_site_label
_atom_site_fract_x
_atom_site_fract_y
_atom_site_fract_z
_atom_site_occupancy
Y1 0.000 0.000 0.000 1
Y2 0.000 0.500 0.280 1
Ga1 0.000 0.000 0.434 1
Ga2 0.000 0.500 0.689 1
Ga3 0.000 0.500 0.846 1
Hg1 0.000 0.000 0.601 1
```

Output
Fermi-level density of states = 6.5 states/eV/cell
ΔH_f (0 K) = -315 kJ/mol of formula units
Energy above the most stable polymorph in this dataset = 23 meV/atom
Size of the total moment = 0.00 μB/f.u.
Crystal system = orthorhombic

First-principles (PBE) data for crystalline YGaHg at its relaxed geometry, as listed in the Alexandria database.

The structure in CIF format:
```
data_YGaHg
_chemical_formula_sum 'Y4 Ga4 Hg4'
_cell_length_a 6.455
_cell_length_b 4.664
_cell_length_c 9.186
_cell_angle_alpha 90.00
_cell_angle_beta 90.00
_cell_angle_gamma 90.00
_symmetry_space_group_name_H-M 'P n m a'
_symmetry_Int_Tables_number 62
_symmetry_space_group_name_Hall '-P 2ac 2n'
loop_
_atom_site_label
_atom_site_fract_x
_atom_site_fract_y
_atom_site_fract_z
_atom_site_occupancy
Y1 0.164 0.250 0.097 1
Ga1 0.063 0.250 0.745 1
Hg1 0.152 0.250 0.423 1
```

Output
Fermi-level density of states = 7.1 states/eV/cell
ΔH_f (0 K) = -126 kJ/mol of formula units
Size of the total moment = 0.00 μB/f.u.
Crystal system = orthorhombic